# FeCu3 PBE-GGA optimized geometry
# Formation enthalpy at 0 K: 0.169 eV/atom
data_FeCu3
_chemical_formula_sum 'Fe1 Cu3'
_cell_length_a 4.332
_cell_length_b 4.332
_cell_length_c 2.580
_cell_angle_alpha 90.00
_cell_angle_beta 90.00
_cell_angle_gamma 90.00
_space_group_name_H-M_alt 'P 4/m m m'
_space_group_IT_number 123
_space_group_name_Hall '-P 4 2'
loop_
_atom_site_label
_atom_site_type_symbol
_atom_site_fract_x
_atom_site_fract_y
_atom_site_fract_z
_atom_site_occupancy
Fe1 Fe 0.000 0.000 0.000 1
Cu1 Cu 0.000 0.500 0.500 1
Cu2 Cu 0.500 0.500 0.000 1

# Sc12Al3Ag PBE-GGA optimized geometry
# Formation enthalpy at 0 K: -0.197 eV/atom
data_Sc12Al3Ag
_chemical_formula_sum 'Sc12 Al3 Ag1'
_cell_length_a 4.425
_cell_length_b 4.425
_cell_length_c 17.737
_cell_angle_alpha 90.00
_cell_angle_beta 90.00
_cell_angle_gamma 90.00
_space_group_name_H-M_alt 'P 4/m m m'
_space_group_IT_number 123
_space_group_name_Hall '-P 4 2'
loop_
_atom_site_label
_atom_site_type_symbol
_atom_site_fract_x
_atom_site_fract_y
_atom_site_fract_z
_atom_site_occupancy
Sc1 Sc 0.000 0.000 0.000 1
Sc2 Sc 0.000 0.000 0.250 1
Sc3 Sc 0.000 0.000 0.500 1
Sc4 Sc 0.000 0.500 0.124 1
Sc5 Sc 0.000 0.500 0.373 1
Al1 Al 0.500 0.500 0.000 1
Al2 Al 0.500 0.500 0.250 1
Ag1 Ag 0.500 0.500 0.500 1

# Zn2SiAu PBE-GGA optimized geometry
# ΔE_f (raw): 3.065 kcal/mol of atoms
data_Zn2SiAu
_chemical_formula_sum 'Zn6 Si3 Au3'
_cell_length_a 2.9978
_cell_length_b 2.9978
_cell_length_c 24.7949
_cell_angle_alpha 90.00
_cell_angle_beta 90.00
_cell_angle_gamma 120.00
_space_group_name_H-M_alt 'R -3 m'
_space_group_IT_number 166
_space_group_name_Hall '-R 3 2"'
loop_
_atom_site_label
_atom_site_type_symbol
_atom_site_fract_x
_atom_site_fract_y
_atom_site_fract_z
_atom_site_occupancy
Zn1 Zn 0.0000 0.0000 0.2474 1
Si1 Si 0.0000 0.0000 0.5000 1
Au1 Au 0.0000 0.0000 0.0000 1

# Zr2TlOs PBE-GGA optimized geometry
# Formation enthalpy at 0 K: -0.066 eV/atom
data_Zr2TlOs
_chemical_formula_sum 'Zr4 Tl2 Os2'
_cell_length_a 3.321
_cell_length_b 4.761
_cell_length_c 10.621
_cell_angle_alpha 90.00
_cell_angle_beta 90.00
_cell_angle_gamma 90.00
_space_group_name_H-M_alt 'I m m 2'
_space_group_IT_number 44
_space_group_name_Hall 'I 2 -2'
loop_
_atom_site_label
_atom_site_type_symbol
_atom_site_fract_x
_atom_site_fract_y
_atom_site_fract_z
_atom_site_occupancy
Zr1 Zr 0.000 0.000 0.000 1
Zr2 Zr 0.000 0.500 0.213 1
Tl1 Tl 0.000 0.000 0.427 1
Os1 Os 0.000 0.500 0.699 1

# Mg2GeB2Rh5 PBE-GGA optimized geometry
# Formation enthalpy at 0 K: -0.646 eV/atom
data_Mg2GeB2Rh5
_chemical_formula_sum 'Mg4 Ge2 B4 Rh10'
_cell_length_a 9.421
_cell_length_b 9.421
_cell_length_c 2.927
_cell_angle_alpha 90.00
_cell_angle_beta 90.00
_cell_angle_gamma 90.00
_space_group_name_H-M_alt 'P 4/m b m'
_space_group_IT_number 127
_space_group_name_Hall '-P 4 2ab'
loop_
_atom_site_label
_atom_site_type_symbol
_atom_site_fract_x
_atom_site_fract_y
_atom_site_fract_z
_atom_site_occupancy
Mg1 Mg 0.175 0.325 0.000 1
Ge1 Ge 0.000 0.000 0.000 1
B1 B 0.125 0.625 0.000 1
Rh1 Rh 0.000 0.500 0.500 1
Rh2 Rh 0.073 0.787 0.500 1

# CsRb2PtPb PBE-GGA optimized geometry
# Formation enthalpy at 0 K: -0.052 eV/atom
data_CsRb2PtPb
_chemical_formula_sum 'Cs1 Rb2 Pt1 Pb1'
_cell_length_a 6.679
_cell_length_b 6.679
_cell_length_c 5.334
_cell_angle_alpha 90.00
_cell_angle_beta 90.00
_cell_angle_gamma 90.00
_space_group_name_H-M_alt 'P 4/m m m'
_space_group_IT_number 123
_space_group_name_Hall '-P 4 2'
loop_
_atom_site_label
_atom_site_type_symbol
_atom_site_fract_x
_atom_site_fract_y
_atom_site_fract_z
_atom_site_occupancy
Cs1 Cs 0.000 0.000 0.000 1
Rb1 Rb 0.000 0.500 0.500 1
Pt1 Pt 0.500 0.500 0.500 1
Pb1 Pb 0.500 0.500 0.000 1

# NaDyCrCl6 PBE-GGA optimized geometry
# ΔE_f (raw): -39.396 kcal/mol of atoms
data_NaDyCrCl6
_chemical_formula_sum 'Na2 Dy2 Cr2 Cl12'
_cell_length_a 6.6229
_cell_length_b 6.6229
_cell_length_c 12.6657
_cell_angle_alpha 90.00
_cell_angle_beta 90.00
_cell_angle_gamma 120.00
_space_group_name_H-M_alt 'P -3 1 c'
_space_group_IT_number 163
_space_group_name_Hall '-P 3 2c'
loop_
_atom_site_label
_atom_site_type_symbol
_atom_site_fract_x
_atom_site_fract_y
_atom_site_fract_z
_atom_site_occupancy
Na1 Na 0.0000 0.0000 0.0000 1
Dy1 Dy 0.3333 0.6667 0.2500 1
Cr1 Cr 0.3333 0.6667 0.7500 1
Cl1 Cl 0.0152 0.3637 0.6348 1